VASP calculation (GGA-PBE) on crystalline Tm6Tl5Hg at its relaxed geometry.

Geometry as extended XYZ:
```
12
Lattice="5.0494 -0.0299 1.6828 0.0397 7.3790 0.0132 -0.0053 -0.0150 8.4332" Properties=species:S:1:pos:R:3 pbc="T T T"
Tl 1.6970 3.6745 3.3913
Tl 0.0199 3.6895 0.0066
Tm 2.5546 5.5440 0.8513
Tm 4.2247 1.7980 4.1903
Tm 4.2448 5.5211 4.1970
Hg 0.0000 0.0000 0.0000
Tl 3.3868 3.6596 6.7379
Tm 0.8391 1.8130 5.9322
Tm 2.5345 1.8051 0.8447
Tl 1.6874 -0.0150 3.3540
Tl 3.3568 -0.0299 6.7619
Tm 0.8592 5.5361 5.9389
```

Calculated values
- Formation enthalpy at 0 K: -323 meV/atom


VASP calculation (GGA-PBE) on crystalline Tm6Tl2Hg at its relaxed geometry.

Geometry as extended XYZ:
```
9
Lattice="5.0906 0.0000 -0.1961 0.0000 7.1846 0.0000 -2.2507 -3.5923 7.7234" Properties=species:S:1:pos:R:3 pbc="T T T"
Tm 2.7440 -1.8258 5.0252
Tm 2.7440 1.8258 5.0252
Hg 0.0000 0.0000 0.0000
Tl 0.1975 0.0000 5.0872
Tm 2.5453 1.7337 -0.0980
Tm 2.5453 5.4508 -0.0980
Tm 0.0960 1.7665 2.5022
Tl 2.6424 3.5923 2.4401
Tm 0.0960 5.4181 2.5022
```

Calculated values
- Formation enthalpy at 0 K: -52 meV/atom


VASP calculation (GGA-PBE) on crystalline Tm2Tl4Hg at its relaxed geometry.

Geometry as extended XYZ:
```
7
Lattice="5.5233 0.0000 -1.6689 -0.5036 5.5010 -1.6668 -0.7544 -0.8239 7.4773" Properties=species:S:1:pos:R:3 pbc="T T T"
Tm 3.0048 3.2906 -0.0299
Hg 0.0000 0.0000 0.0000
Tl 3.6394 0.9628 2.0704
Tl 0.6259 3.7143 2.0712
Tl -0.2518 2.7505 -0.8334
Tm 1.2605 1.3865 4.1716
Tl 2.7616 0.0000 -0.8345
```

Calculated values
- Formation enthalpy at 0 K: 45 meV/atom


VASP calculation (GGA-PBE) on crystalline Tm3Tl3Hg2 at its relaxed geometry.

Geometry as extended XYZ:
```
8
Lattice="-1.0476 1.9194 -2.7931 -7.0687 -4.2161 -0.2460 0.5441 6.8653 4.5138" Properties=species:S:1:pos:R:3 pbc="T T T"
Tl -1.6903 -1.0081 -0.0588
Tl -4.9645 2.0157 3.2472
Tm -4.8784 -1.6375 -1.5481
Tm -3.0290 1.9769 0.2421
Tm -0.1886 5.1890 1.3841
Hg -4.5311 -0.5223 1.3406
Tl 0.1301 1.6416 1.0793
Hg -1.9935 3.1715 2.9272
```

Calculated values
- Formation enthalpy at 0 K: -295 meV/atom


> The lowest formation enthalpy at 0 K belongs to which entry?

Tm6Tl5Hg


> The highest formation enthalpy at 0 K belongs to which entry?

Tm2Tl4Hg


Copy entry 4 word for word.
VASP calculation (GGA-PBE) on crystalline Tm3Tl3Hg2 at its relaxed geometry.

Geometry as extended XYZ:
```
8
Lattice="-1.0476 1.9194 -2.7931 -7.0687 -4.2161 -0.2460 0.5441 6.8653 4.5138" Properties=species:S:1:pos:R:3 pbc="T T T"
Tl -1.6903 -1.0081 -0.0588
Tl -4.9645 2.0157 3.2472
Tm -4.8784 -1.6375 -1.5481
Tm -3.0290 1.9769 0.2421
Tm -0.1886 5.1890 1.3841
Hg -4.5311 -0.5223 1.3406
Tl 0.1301 1.6416 1.0793
Hg -1.9935 3.1715 2.9272
```

Calculated values
- Formation enthalpy at 0 K: -295 meV/atom